VASP calculation (PBE-GGA) on a geometry-optimized Zr2TlNi structure.

**VASP energy**: -97.4 eV per cell
**Formation enthalpy at 0 K**: 0.9 eV per formula unit
**E above lowest polymorph**: 403 meV/atom
**Density**: 9.182 Mg/m³

a b c (Å): 6.856 6.856 6.856
angles (deg): 90.00 90.00 90.00
Element x y z (fractional)
Zr1 0.000 0.000 0.000
Zr2 0.000 0.500 0.500
Zr3 0.250 0.250 0.250
Zr4 0.250 0.750 0.750
Zr5 0.500 0.000 0.500
Zr6 0.500 0.500 0.000
Zr7 0.750 0.250 0.750
Zr8 0.750 0.750 0.250
Tl1 0.250 0.250 0.750
Tl2 0.250 0.750 0.250
Tl3 0.750 0.250 0.250
Tl4 0.750 0.750 0.750
Ni1 0.000 0.000 0.500
Ni2 0.000 0.500 0.000
Ni3 0.500 0.000 0.000
Ni4 0.500 0.500 0.500